LiAg2Cl | GGA-PBE | optimized geometry

## Properties
N(E_F) in states/eV per atom: 1.55
Energy relative to the elements, uncorrected in meV per atom: -13.0
Energy above the lowest structure with this stoichiometry in eV per atom: 0.557
Space-group type: Fm-3m, No. 225

Cell lengths 4.766, 4.766, 4.766 Å; angles 60.00, 60.00, 60.00 degrees
Positions (direct):
1 Li 0.000 0.000 0.000
2 Ag 0.250 0.250 0.250
3 Ag 0.750 0.750 0.750
4 Cl 0.500 0.500 0.500